This record from Alexandria describes crystalline Na3ReSb at its relaxed geometry. The functional is GGA-PBE.

SG ... Pm-3m, No. 221
Energy relative to the elements, uncorrected ... 1.18 eV/atom
Spin magnetization ... 5.00 μB/f.u.

Cell: 5.8518 5.8518 5.8518 Å, 90.00 90.00 90.00°
With the nearest neighbours (Å) after each atom.
Element x y z (fractional)
Na 0.0000 0.0000 0.5000  2 Sb 2.93
Na 0.0000 0.5000 0.0000  2 Sb 2.93
Na 0.5000 0.0000 0.0000  2 Sb 2.93
Re 0.5000 0.5000 0.5000  12 Na 4.14
Sb 0.0000 0.0000 0.0000  6 Na 2.93



This record from Alexandria describes crystalline AcTmCd6 at its relaxed geometry. The functional is GGA-PBE.

SG ... P4/mmm, No. 123
Formation energy from the elements ... -226 meV/atom
Spin magnetization ... 0.00 μB/f.u.

Cell: 5.2178 5.2178 7.4297 Å, 90.00 90.00 90.00°
With the nearest neighbours (Å) after each atom.
Element x y z (fractional)
Ac 0.0000 0.0000 0.0000  12 Cd 3.31-3.69
Tm 0.5000 0.5000 0.5000  8 Cd 3.10
Cd 0.0000 0.0000 0.5000  8 Cd 3.10
Cd 0.0000 0.5000 0.2734  5 Cd 3.10-3.37, 2 Tm 3.10, 2 Ac 3.31
Cd 0.0000 0.5000 0.7266  5 Cd 3.10-3.37, 2 Tm 3.10, 2 Ac 3.31
Cd 0.5000 0.0000 0.2734  5 Cd 3.10-3.37, 2 Tm 3.10, 2 Ac 3.31
Cd 0.5000 0.0000 0.7266  5 Cd 3.10-3.37, 2 Tm 3.10, 2 Ac 3.31
Cd 0.5000 0.5000 0.0000  8 Cd 3.31, 4 Ac 3.69



This record from Alexandria describes crystalline NiSbP4 at its relaxed geometry. The functional is GGA-PBE.

SG ... F-43m, No. 216
Energy relative to the elements, uncorrected ... 0.73 eV/atom
Spin magnetization ... 0.00 μB/f.u.

Cell: 5.1701 5.1701 5.1701 Å, 60.00 60.00 60.00°
With the nearest neighbours (Å) after each atom.
Element x y z (fractional)
Ni 0.0000 0.0000 0.0000  12 P 3.02, 4 Sb 3.17
Sb 0.2500 0.2500 0.2500  12 P 3.05, 4 Ni 3.17
P 0.1050 0.6317 0.6317  6 P 2.45-2.72
P 0.6317 0.1050 0.6317  6 P 2.45-2.72
P 0.6317 0.6317 0.1050  6 P 2.45-2.72
P 0.6317 0.6317 0.6317  6 P 2.45-2.72



This record from Alexandria describes crystalline YMg6Cd2 at its relaxed geometry. The functional is GGA-PBE.

SG ... P4/mmm, No. 123
Formation energy from the elements ... -86 meV/atom
Spin magnetization ... 0.00 μB/f.u.

Cell: 4.4013 4.4013 11.0644 Å, 90.00 90.00 90.00°
With the nearest neighbours (Å) after each atom.
Element x y z (fractional)
Y 0.0000 0.0000 0.0000  8 Cd 3.40
Mg 0.0000 0.0000 0.5000  12 Mg 3.11-3.21
Mg 0.0000 0.5000 0.2891  2 Cd 2.87, 8 Mg 3.11-3.21
Mg 0.0000 0.5000 0.7109  2 Cd 2.87, 8 Mg 3.11-3.21
Mg 0.5000 0.0000 0.2891  2 Cd 2.87, 8 Mg 3.11-3.21
Mg 0.5000 0.0000 0.7109  2 Cd 2.87, 8 Mg 3.11-3.21
Mg 0.5000 0.5000 0.5000  12 Mg 3.11-3.21
Cd 0.5000 0.5000 0.1232  1 Cd 2.73, 4 Mg 2.87
Cd 0.5000 0.5000 0.8768  1 Cd 2.73, 4 Mg 2.87



This record from Alexandria describes crystalline Fe2TeIr at its relaxed geometry. The functional is GGA-PBE.

SG ... I4/mmm, No. 139
Energy relative to the elements, uncorrected ... 0.28 eV/atom
Spin magnetization ... 5.86 μB/f.u.

Cell: 4.9778 4.9778 4.9778 Å, 134.93 134.93 65.65°
With the nearest neighbours (Å) after each atom.
Element x y z (fractional)
Fe 0.2500 0.7500 0.5000  4 Fe 2.70, 4 Te 2.83, 4 Ir 2.83
Fe 0.7500 0.2500 0.5000  4 Fe 2.70, 4 Te 2.83, 4 Ir 2.83
Te 0.0000 0.0000 0.0000  4 Ir 2.70, 8 Fe 2.83
Ir 0.5000 0.5000 0.0000  4 Te 2.70, 8 Fe 2.83



This record from Alexandria describes crystalline SrLuBi2 at its relaxed geometry. The functional is GGA-PBE.

SG ... R-3m, No. 166
Formation energy from the elements ... -709 meV/atom
Spin magnetization ... 0.00 μB/f.u.

Cell: 8.2625 8.2625 8.2625 Å, 31.90 31.90 31.90°
With the nearest neighbours (Å) after each atom.
Element x y z (fractional)
Sr 0.0000 0.0000 0.0000  6 Bi 3.42
Lu 0.5000 0.5000 0.5000  6 Bi 3.14
Bi 0.2399 0.2399 0.2399  3 Lu 3.14, 3 Sr 3.42
Bi 0.7601 0.7601 0.7601  3 Lu 3.14, 3 Sr 3.42



This record from Alexandria describes crystalline PrHo3Al2 at its relaxed geometry. The functional is GGA-PBE.

SG ... P4/mmm, No. 123
Formation energy from the elements ... -258 meV/atom
Spin magnetization ... 0.00 μB/f.u.

Cell: 3.5542 3.5542 12.6276 Å, 90.00 90.00 90.00°
With the nearest neighbours (Å) after each atom.
Element x y z (fractional)
Pr 0.0000 0.0000 0.0000  4 Pr 3.55, 8 Ho 3.65
Ho 0.5000 0.5000 0.2091  4 Al 3.10
Ho 0.5000 0.5000 0.5000  8 Al 3.12
Ho 0.5000 0.5000 0.7909  4 Al 3.10
Al 0.0000 0.0000 0.3533  8 Ho 3.10-3.12
Al 0.0000 0.0000 0.6467  8 Ho 3.10-3.12



This record from Alexandria describes crystalline NaSnB at its relaxed geometry. The functional is GGA-PBE.

SG ... Cmcm, No. 63
Formation energy from the elements ... 135 meV/atom
Spin magnetization ... 0.00 μB/f.u.

Cell: 11.1218 11.1218 3.1413 Å, 90.00 90.00 158.94°
With the nearest neighbours (Å) after each atom.
Element x y z (fractional)
Na 0.0753 0.9247 0.7500  4 B 2.73
Na 0.9247 0.0753 0.2500  4 B 2.73
Sn 0.2930 0.7070 0.2500  6 Sn 3.14-3.18
Sn 0.7070 0.2930 0.7500  6 Sn 3.14-3.18
B 0.5000 0.5000 0.0000  2 B 1.57
B 0.5000 0.5000 0.5000  2 B 1.57



This record from Alexandria describes crystalline La8GePd3Br4 at its relaxed geometry. The functional is GGA-PBE.

SG ... R-3m, No. 166
Energy relative to the elements, uncorrected ... -1.08 eV/atom
Spin magnetization ... 0.00 μB/f.u.

Cell: 9.0129 9.0129 9.0129 Å, 57.31 57.31 57.31°
With the nearest neighbours (Å) after each atom.
Element x y z (fractional)
La 0.2366 0.2366 0.2366  3 Pd 2.95
La 0.2375 0.7418 0.7418  2 Pd 2.99, 1 Ge 3.02, 3 Br 3.24-3.26
La 0.2582 0.2582 0.7625  2 Pd 2.99, 1 Ge 3.02, 3 Br 3.24-3.26
La 0.2582 0.7625 0.2582  2 Pd 2.99, 1 Ge 3.02, 3 Br 3.24-3.26
La 0.7418 0.2375 0.7418  2 Pd 2.99, 1 Ge 3.02, 3 Br 3.24-3.26
La 0.7418 0.7418 0.2375  2 Pd 2.99, 1 Ge 3.02, 3 Br 3.24-3.26
La 0.7625 0.2582 0.2582  2 Pd 2.99, 1 Ge 3.02, 3 Br 3.24-3.26
La 0.7634 0.7634 0.7634  3 Pd 2.95
Ge 0.5000 0.5000 0.5000  6 La 3.02
Pd 0.0000 0.0000 0.5000  6 La 2.95-2.99
Pd 0.0000 0.5000 0.0000  6 La 2.95-2.99
Pd 0.5000 0.0000 0.0000  6 La 2.95-2.99
Br 0.0000 0.0000 0.0000  6 La 3.24
Br 0.0000 0.5000 0.5000  6 La 3.26-3.31
Br 0.5000 0.0000 0.5000  6 La 3.26-3.31
Br 0.5000 0.5000 0.0000  6 La 3.26-3.31



This record from Alexandria describes crystalline ZnCr2C2 at its relaxed geometry. The functional is GGA-PBE.

SG ... P4/mbm, No. 127
Formation energy from the elements ... 734 meV/atom
Spin magnetization ... 0.00 μB/f.u.

Cell: 5.9969 5.9969 2.6258 Å, 90.00 90.00 90.00°
With the nearest neighbours (Å) after each atom.
Element x y z (fractional)
Zn 0.0000 0.0000 0.0000  4 Cr 2.33
Zn 0.5000 0.5000 0.0000  4 Cr 2.33
Cr 0.1366 0.3634 0.0000  6 C 2.15-2.25, 1 Cr 2.32, 2 Zn 2.33
Cr 0.3634 0.8634 0.0000  6 C 2.15-2.25, 1 Cr 2.32, 2 Zn 2.33
Cr 0.6366 0.1366 0.0000  6 C 2.15-2.25, 1 Cr 2.32, 2 Zn 2.33
Cr 0.8634 0.6366 0.0000  6 C 2.15-2.25, 1 Cr 2.32, 2 Zn 2.33
C 0.1474 0.6474 0.5000  6 Cr 2.15-2.25
C 0.3526 0.1474 0.5000  6 Cr 2.15-2.25
C 0.6474 0.8526 0.5000  6 Cr 2.15-2.25
C 0.8526 0.3526 0.5000  6 Cr 2.15-2.25



This record from Alexandria describes crystalline ReIrPb3 at its relaxed geometry. The functional is GGA-PBE.

SG ... Pm-3m, No. 221
Formation energy from the elements ... 1331 meV/atom
Spin magnetization ... 2.00 μB/f.u.

Cell: 5.2715 5.2715 5.2715 Å, 90.00 90.00 90.00°
With the nearest neighbours (Å) after each atom.
Element x y z (fractional)
Re 0.0000 0.0000 0.0000  6 Pb 2.64
Ir 0.5000 0.5000 0.5000  12 Pb 3.73
Pb 0.0000 0.0000 0.5000  2 Re 2.64
Pb 0.0000 0.5000 0.0000  2 Re 2.64
Pb 0.5000 0.0000 0.0000  2 Re 2.64



This record from Alexandria describes crystalline HfMgAl2Ru at its relaxed geometry. The functional is GGA-PBE.

SG ... P4/mmm, No. 123
Formation energy from the elements ... 1425 meV/atom
Spin magnetization ... 0.00 μB/f.u.

Cell: 4.5842 4.5842 5.0083 Å, 90.00 90.00 90.00°
With the nearest neighbours (Å) after each atom.
Element x y z (fractional)
Hf 0.0000 0.0000 0.0000  2 Mg 2.50
Mg 0.0000 0.0000 0.5000  4 Al 2.29, 2 Hf 2.50
Al 0.0000 0.5000 0.5000  2 Mg 2.29
Al 0.5000 0.0000 0.5000  2 Mg 2.29
Ru 0.5000 0.5000 0.0000  4 Hf 3.24, 8 Al 3.39